# 1
Computed, not measured: YErIn4Ni2 after structural relaxation at the PBE-GGA level of DFT.

Crystal system ... orthorhombic
E_tot ... -36.7 eV/cell

Unit cell a=7.405 b=5.650 c=5.650 alpha=44.89 beta=90.00 gamma=90.00
Fractional coordinates of all 8 atoms:
In 0.299 0.857 0.857
In 0.200 0.143 0.143
In 0.800 0.143 0.143
In 0.701 0.857 0.857
Ni 0.500 0.285 0.285
Ni 0.000 0.715 0.715
Er 0.000 0.432 0.432
Y 0.500 0.568 0.568



# 2
Computed, not measured: GdYAl2Ir4 after structural relaxation at the PBE-GGA level of DFT.

Crystal system ... hexagonal
E_tot ... -59.5 eV/cell

Unit cell a=4.304 b=4.304 c=9.214 alpha=90.00 beta=90.00 gamma=120.00
Fractional coordinates of all 8 atoms:
Y 0.333 0.667 0.500
Ir 0.000 0.000 0.668
Ir 0.000 0.000 0.332
Ir 0.333 0.667 0.832
Ir 0.333 0.667 0.168
Al 0.667 0.333 0.750
Al 0.667 0.333 0.250
Gd 0.000 0.000 0.000



# 3
Computed, not measured: Dy3HoTm2As2Os after structural relaxation at the PBE-GGA level of DFT.

Crystal system ... orthorhombic
E_tot ... -54.8 eV/cell

Unit cell a=4.144 b=7.844 c=7.844 alpha=120.20 beta=90.00 gamma=90.00
Fractional coordinates of all 9 atoms:
Tm 0.000 0.000 0.756
Tm 0.000 0.756 0.000
Ho 0.000 0.244 0.244
Dy 0.500 0.000 0.406
Dy 0.500 0.406 0.000
Dy 0.500 0.597 0.597
As 0.000 0.333 0.669
As 0.000 0.669 0.333
Os 0.500 0.996 0.996